1.
FeMoBr6 | Alexandria via LeMat-Bulk | PBE | relaxed; Fermi-level density of states = 19.63 states/eV/cell; V = 465 Å³ per cell; calculated density = 4.51 g/cm3; SG = C2/m; ΔE_f (raw) = -341.7 meV/atom
1.0
7.953 -0.057 -2.782
-3.968 6.888 -2.792
0.032 0.050 8.483
Mo Br Fe
2 12 2
Cartesian
2.009 3.441 1.454
0.016 0.025 4.241
1.931 0.892 5.721
6.252 1.229 2.904
3.472 3.534 3.566
-2.235 5.653 0.004
3.191 1.263 0.758
0.162 2.162 2.765
5.231 2.045 -2.152
0.826 5.619 2.150
2.086 5.990 -2.813
0.545 3.348 -0.657
3.855 4.720 0.143
-1.213 4.836 5.060
-1.984 3.444 -1.396
3.977 -0.028 -1.391

2.
Fe3MoBr | Alexandria via LeMat-Bulk | PBE | relaxed; Fermi-level density of states = 14.81 states/eV/cell; V = 76 Å³ per cell; calculated density = 7.54 g/cm3; SG = Pm-3m; ΔE_f (raw) = 1704.6 meV/atom; relative energy among the computed polymorphs = 136 meV/atom
1.0
-0.486 -3.528 2.280
-1.092 -2.110 -3.498
4.056 -0.991 -0.669
Fe Br Mo
3 1 1
Cartesian
-0.243 -1.764 1.140
2.028 -0.495 -0.334
-0.546 -1.055 -1.749
0.000 0.000 0.000
1.239 -3.315 -0.944

3.
FeMoBr2 | Alexandria via LeMat-Bulk | PBE | relaxed; Fermi-level density of states = 6.20 states/eV/cell; V = 183 Å³ per cell; calculated density = 5.65 g/cm3; SG = I-42d; ΔE_f (raw) = 904.0 meV/atom; relative energy among the computed polymorphs = 856 meV/atom
1.0
-2.060 -3.587 4.210
2.758 -4.561 -2.536
4.620 -3.110 3.748
Br Fe Mo
4 2 2
Cartesian
4.009 -9.351 4.338
0.262 -3.502 3.149
3.794 -5.499 3.377
2.571 -4.164 -0.019
0.349 -4.074 0.837
3.863 -5.872 1.024
0.000 0.000 0.000
1.455 -5.386 4.398

4.
FeMoBr2 | Alexandria via LeMat-Bulk | PBE | relaxed; Fermi-level density of states = 1.75 states/eV/cell; V = 93 Å³ per cell; calculated density = 5.55 g/cm3; SG = Imm2; ΔE_f (raw) = 380.9 meV/atom; relative energy among the computed polymorphs = 332 meV/atom
1.0
9.000 0.833 -0.151
7.420 5.162 0.151
-8.164 -3.124 2.305
Br Mo Fe
2 1 1
Cartesian
4.285 0.266 1.077
0.154 0.056 0.000
5.067 3.005 1.228
6.960 2.541 0.000

5.
FeMo4Br | Alexandria via LeMat-Bulk | PBE | relaxed; Fermi-level density of states = 5.34 states/eV/cell; V = 104 Å³ per cell; calculated density = 8.31 g/cm3; SG = F-43m; ΔE_f (raw) = 956.3 meV/atom
1.0
0.000 3.731 3.731
3.731 0.000 3.731
3.731 3.731 0.000
Mo Fe Br
4 1 1
Cartesian
2.796 2.796 4.665
2.796 4.665 2.796
4.665 2.796 2.796
4.665 4.665 4.665
0.000 0.000 0.000
1.865 1.865 1.865

6.
FeMoBr2 | Alexandria via LeMat-Bulk | PBE | relaxed; Fermi-level density of states = 2.82 states/eV/cell; V = 83 Å³ per cell; calculated density = 6.20 g/cm3; SG = P4mm; ΔE_f (raw) = 266.8 meV/atom; relative energy among the computed polymorphs = 218 meV/atom
1.0
3.205 0.000 0.000
0.000 3.205 0.000
0.000 0.000 8.126
Br Mo Fe
2 1 1
Cartesian
1.603 1.603 2.902
0.000 0.000 7.457
1.603 1.603 5.634
0.000 0.000 4.322

7.
FeMoBr3 | Alexandria via LeMat-Bulk | PBE | relaxed; Fermi-level density of states = 7.81 states/eV/cell; V = 135 Å³ per cell; calculated density = 4.80 g/cm3; SG = Pm-3m; ΔE_f (raw) = 610.5 meV/atom; relative energy among the computed polymorphs = 0 meV/atom
1.0
5.135 0.000 0.000
0.000 5.135 0.000
0.000 0.000 5.135
Fe Mo Br
1 1 3
Cartesian
0.000 0.000 0.000
2.568 2.568 2.568
0.000 2.568 0.000
0.000 0.000 2.568
2.568 0.000 0.000

8.
FeMoBr2 | Alexandria via LeMat-Bulk | PBE | relaxed; Fermi-level density of states = 8.06 states/eV/cell; V = 73 Å³ per cell; calculated density = 7.07 g/cm3; SG = R-3m; ΔE_f (raw) = 842.8 meV/atom; relative energy among the computed polymorphs = 794 meV/atom
1.0
1.873 0.000 8.030
-0.936 1.622 8.030
-0.936 -1.622 8.030
Br Mo Fe
2 1 1
Cartesian
0.000 0.000 21.607
0.000 0.000 2.483
0.000 0.000 0.000
0.000 0.000 12.045

9.
FeMo3Br | Alexandria via LeMat-Bulk | PBE | relaxed; Fermi-level density of states = 9.06 states/eV/cell; V = 94 Å³ per cell; calculated density = 7.50 g/cm3; SG = Pm-3m; ΔE_f (raw) = 2042.0 meV/atom; relative energy among the computed polymorphs = 588 meV/atom
1.0
-2.381 2.131 3.230
-2.977 -3.432 0.070
2.473 -2.079 3.195
Fe Br Mo
1 1 3
Cartesian
-1.443 -1.690 3.247
0.000 0.000 0.000
-1.191 1.066 1.615
1.236 -1.040 1.597
-1.488 -1.716 0.035

10.
FeMoBr2 | Alexandria via LeMat-Bulk | PBE | relaxed; Fermi-level density of states = 5.27 states/eV/cell; V = 78 Å³ per cell; calculated density = 6.61 g/cm3; SG = R-3m; ΔE_f (raw) = 650.1 meV/atom; relative energy among the computed polymorphs = 602 meV/atom
1.0
-7.534 -2.117 4.540
-6.240 -5.019 4.211
-5.324 -3.125 6.614
Mo Br Fe
1 2 1
Cartesian
-9.548 -5.131 7.683
-17.273 -9.281 13.898
-1.824 -0.980 1.468
0.000 0.000 0.000

11.
FeMoBr4 | Alexandria via LeMat-Bulk | PBE | relaxed; Fermi-level density of states = 14.45 states/eV/cell; V = 170 Å³ per cell; calculated density = 4.59 g/cm3; SG = F-43m; ΔE_f (raw) = 1504.9 meV/atom
1.0
-2.612 -1.100 5.541
-4.509 -4.258 0.525
1.113 -5.363 2.956
Br Fe Mo
4 1 1
Cartesian
-3.556 -4.574 6.147
-1.701 -6.697 4.859
-4.501 -6.146 3.649
-2.256 -4.026 3.388
-4.506 -8.041 6.766
0.000 0.000 0.000

12.
FeMoBr2 | Alexandria via LeMat-Bulk | PBE | relaxed; Fermi-level density of states = 3.92 states/eV/cell; V = 78 Å³ per cell; calculated density = 6.66 g/cm3; SG = P2/m; ΔE_f (raw) = 801.9 meV/atom; relative energy among the computed polymorphs = 753 meV/atom
1.0
4.294 0.000 0.000
0.000 3.066 -0.365
0.000 -1.319 6.061
Mo Br Fe
1 2 1
Cartesian
2.147 1.310 4.272
0.000 2.558 -0.285
0.000 1.381 2.769
2.147 0.437 1.424